# MoW3

A relaxed MoW3 crystal (PBE-GGA, the Alexandria database).

Values from the calculation:
Its polymorph energy (0 for the lowest one) is 106 meV/atom. As for the space-group type: No. 223. The value obtained for the formation energy is 0.0894 eV per atom.

Cell: 5.073 5.073 5.073 Å, 90.00 90.00 90.00°
Fractional coordinates of all 8 atoms:
1 Mo 0.000 0.000 0.000
2 Mo 0.500 0.500 0.500
3 W 0.000 0.250 0.500
4 W 0.000 0.750 0.500
5 W 0.250 0.500 0.000
6 W 0.500 0.000 0.250
7 W 0.500 0.000 0.750
8 W 0.750 0.500 0.000

# Mo5W7

A relaxed Mo5W7 crystal (PBE-GGA, the Alexandria database).

Values from the calculation:
Its polymorph energy (0 for the lowest one) is 3 meV/atom. As for the space-group type: No. 12. The value obtained for the formation energy is -0.0075 eV per atom.

Cell: 6.932 6.932 8.982 Å, 90.04 90.04 26.48°
Fractional coordinates of all 12 atoms:
1 Mo 0.000 0.000 0.000
2 Mo 0.167 0.167 0.250
3 Mo 0.333 0.333 0.500
4 Mo 0.667 0.667 0.500
5 Mo 0.833 0.833 0.750
6 W 0.000 0.000 0.500
7 W 0.167 0.167 0.750
8 W 0.333 0.333 0.000
9 W 0.500 0.500 0.250
10 W 0.500 0.500 0.750
11 W 0.667 0.667 0.000
12 W 0.833 0.833 0.250

# MoW

A relaxed MoW crystal (PBE-GGA, the Alexandria database).

Values from the calculation:
Its polymorph energy (0 for the lowest one) is 370 meV/atom. As for the space-group type: No. 198. The value obtained for the formation energy is 0.3504 eV per atom.

Cell: 5.093 5.093 5.093 Å, 90.00 90.00 90.00°
Fractional coordinates of all 8 atoms:
1 Mo 0.094 0.406 0.594
2 Mo 0.406 0.594 0.094
3 Mo 0.594 0.094 0.406
4 Mo 0.906 0.906 0.906
5 W 0.095 0.905 0.405
6 W 0.405 0.095 0.905
7 W 0.595 0.595 0.595
8 W 0.905 0.405 0.095

# MoW2

A relaxed MoW2 crystal (PBE-GGA, the Alexandria database).

Values from the calculation:
Its polymorph energy (0 for the lowest one) is 727 meV/atom. As for the space-group type: No. 189. The value obtained for the formation energy is 0.7112 eV per atom.

Cell: 6.451 6.451 4.259 Å, 90.00 90.00 120.00°
Fractional coordinates of all 9 atoms:
1 Mo 0.000 0.000 0.000
2 Mo 0.333 0.667 0.500
3 Mo 0.667 0.333 0.500
4 W 0.000 0.246 0.500
5 W 0.000 0.551 0.000
6 W 0.246 0.000 0.500
7 W 0.449 0.449 0.000
8 W 0.551 0.000 0.000
9 W 0.754 0.754 0.500

# Mo3W5

A relaxed Mo3W5 crystal (PBE-GGA, the Alexandria database).

Values from the calculation:
Its polymorph energy (0 for the lowest one) is 335 meV/atom. As for the space-group type: No. 1. The value obtained for the formation energy is 0.3197 eV per atom.

Cell: 5.056 7.350 7.973 Å, 83.79 71.68 69.88°
Fractional coordinates of all 16 atoms:
1 Mo 0.000 0.000 0.000
2 Mo 0.018 0.589 0.877
3 Mo 0.396 0.588 0.120
4 Mo 0.500 0.000 0.000
5 Mo 0.526 0.951 0.498
6 Mo 0.897 0.208 0.498
7 W 0.002 0.343 0.154
8 W 0.145 0.895 0.315
9 W 0.274 0.234 0.720
10 W 0.472 0.553 0.500
11 W 0.486 0.747 0.782
12 W 0.493 0.237 0.279
13 W 0.658 0.342 0.844
14 W 0.770 0.745 0.216
15 W 0.960 0.897 0.684
16 W 0.976 0.552 0.500

# Mo2W

A relaxed Mo2W crystal (PBE-GGA, the Alexandria database).

Values from the calculation:
Its polymorph energy (0 for the lowest one) is 2 meV/atom. As for the space-group type: No. 164. The value obtained for the formation energy is -0.0175 eV per atom.

Cell: 4.477 4.477 2.755 Å, 90.00 90.00 120.00°
Fractional coordinates of all 3 atoms:
1 Mo 0.333 0.667 0.165
2 Mo 0.667 0.333 0.835
3 W 0.000 0.000 0.500

# MoW

A relaxed MoW crystal (PBE-GGA, the Alexandria database).

Values from the calculation:
Its polymorph energy (0 for the lowest one) is 975 meV/atom. As for the space-group type: No. 71. The value obtained for the formation energy is 0.9553 eV per atom.

Cell: 2.992 4.476 5.168 Å, 90.00 90.00 90.00°
Fractional coordinates of all 4 atoms:
1 Mo 0.000 0.000 0.000
2 Mo 0.500 0.500 0.500
3 W 0.000 0.000 0.500
4 W 0.500 0.500 0.000

# Mo2W3

A relaxed Mo2W3 crystal (PBE-GGA, the Alexandria database).

Values from the calculation:
Its polymorph energy (0 for the lowest one) is 214 meV/atom. As for the space-group type: No. 11. The value obtained for the formation energy is 0.4663 eV per atom.

Cell: 7.074 3.070 7.757 Å, 90.00 99.74 90.00°
Fractional coordinates of all 10 atoms:
1 Mo 0.009 0.250 0.172
2 Mo 0.412 0.750 0.753
3 Mo 0.588 0.250 0.247
4 Mo 0.991 0.750 0.828
5 W 0.138 0.250 0.584
6 W 0.288 0.250 0.001
7 W 0.331 0.750 0.367
8 W 0.669 0.250 0.633
9 W 0.712 0.750 0.999
10 W 0.862 0.750 0.416

# MoW3

A relaxed MoW3 crystal (PBE-GGA, the Alexandria database).

Values from the calculation:
Its polymorph energy (0 for the lowest one) is 3092 meV/atom. As for the space-group type: No. 221. The value obtained for the formation energy is 3.0753 eV per atom.

Cell: 4.755 4.755 4.755 Å, 90.00 90.00 90.00°
Fractional coordinates of all 4 atoms:
1 Mo 0.000 0.000 0.000
2 W 0.000 0.000 0.500
3 W 0.000 0.500 0.000
4 W 0.500 0.000 0.000

# MoW3

A relaxed MoW3 crystal (PBE-GGA, the Alexandria database).

Values from the calculation:
Its polymorph energy (0 for the lowest one) is 378 meV/atom. As for the space-group type: No. 65. The value obtained for the formation energy is 0.3614 eV per atom.

Cell: 5.334 9.252 2.670 Å, 90.00 90.00 90.00°
Fractional coordinates of all 8 atoms:
1 Mo 0.000 0.000 0.000
2 Mo 0.500 0.500 0.000
3 W 0.000 0.500 0.000
4 W 0.250 0.250 0.500
5 W 0.250 0.750 0.500
6 W 0.500 0.000 0.000
7 W 0.750 0.250 0.500
8 W 0.750 0.750 0.500

# Mo4W

A relaxed Mo4W crystal (PBE-GGA, the Alexandria database).

Values from the calculation:
Its polymorph energy (0 for the lowest one) is 2039 meV/atom. As for the space-group type: No. 221. The value obtained for the formation energy is 2.0197 eV per atom.

Cell: 4.683 4.683 4.683 Å, 90.00 90.00 90.00°
Fractional coordinates of all 5 atoms:
1 Mo 0.000 0.000 0.000
2 Mo 0.000 0.500 0.500
3 Mo 0.500 0.000 0.500
4 Mo 0.500 0.500 0.000
5 W 0.500 0.500 0.500

# Mo2W

A relaxed Mo2W crystal (PBE-GGA, the Alexandria database).

Values from the calculation:
Its polymorph energy (0 for the lowest one) is 2 meV/atom. As for the space-group type: No. 65. The value obtained for the formation energy is -0.0175 eV per atom.

Cell: 4.479 13.435 3.179 Å, 90.00 90.00 90.00°
Fractional coordinates of all 12 atoms:
1 Mo 0.000 0.000 0.000
2 Mo 0.000 0.167 0.500
3 Mo 0.000 0.500 0.500
4 Mo 0.000 0.833 0.500
5 Mo 0.500 0.000 0.500
6 Mo 0.500 0.333 0.500
7 Mo 0.500 0.500 0.000
8 Mo 0.500 0.667 0.500
9 W 0.000 0.333 0.000
10 W 0.000 0.667 0.000
11 W 0.500 0.167 0.000
12 W 0.500 0.833 0.000

# MoW

A relaxed MoW crystal (PBE-GGA, the Alexandria database).

Values from the calculation:
Its polymorph energy (0 for the lowest one) is 384 meV/atom. As for the space-group type: No. 166. The value obtained for the formation energy is 0.3647 eV per atom.

Cell: 3.006 3.006 12.597 Å, 90.00 90.00 120.00°
Fractional coordinates of all 6 atoms:
1 Mo 0.000 0.000 0.000
2 Mo 0.333 0.667 0.667
3 Mo 0.667 0.333 0.333
4 W 0.000 0.000 0.500
5 W 0.333 0.667 0.167
6 W 0.667 0.333 0.833

# Mo3W5

A relaxed Mo3W5 crystal (PBE-GGA, the Alexandria database).

Values from the calculation:
Its polymorph energy (0 for the lowest one) is 454 meV/atom. As for the space-group type: No. 193. The value obtained for the formation energy is 0.4389 eV per atom.

Cell: 7.644 7.644 5.251 Å, 90.00 90.00 120.00°
Fractional coordinates of all 16 atoms:
1 Mo 0.000 0.398 0.250
2 Mo 0.000 0.602 0.750
3 Mo 0.398 0.000 0.250
4 Mo 0.398 0.398 0.750
5 Mo 0.602 0.000 0.750
6 Mo 0.602 0.602 0.250
7 W 0.000 0.226 0.750
8 W 0.000 0.774 0.250
9 W 0.226 0.000 0.750
10 W 0.226 0.226 0.250
11 W 0.333 0.667 0.000
12 W 0.333 0.667 0.500
13 W 0.667 0.333 0.000
14 W 0.667 0.333 0.500
15 W 0.774 0.000 0.250
16 W 0.774 0.774 0.750

# Mo2W

A relaxed Mo2W crystal (PBE-GGA, the Alexandria database).

Values from the calculation:
Its polymorph energy (0 for the lowest one) is 0 meV/atom. As for the space-group type: No. 63. The value obtained for the formation energy is -0.0195 eV per atom.

Cell: 3.179 13.408 4.486 Å, 90.00 90.00 90.00°
Fractional coordinates of all 12 atoms:
1 Mo 0.000 0.083 0.250
2 Mo 0.000 0.250 0.750
3 Mo 0.000 0.750 0.250
4 Mo 0.000 0.917 0.750
5 Mo 0.500 0.250 0.250
6 Mo 0.500 0.417 0.750
7 Mo 0.500 0.583 0.250
8 Mo 0.500 0.750 0.750
9 W 0.000 0.417 0.250
10 W 0.000 0.583 0.750
11 W 0.500 0.083 0.750
12 W 0.500 0.917 0.250

# MoW

A relaxed MoW crystal (PBE-GGA, the Alexandria database).

Values from the calculation:
Its polymorph energy (0 for the lowest one) is 10 meV/atom. As for the space-group type: No. 2. The value obtained for the formation energy is -0.0098 eV per atom.

Cell: 5.270 5.489 9.394 Å, 73.06 87.11 80.03°
Fractional coordinates of all 16 atoms:
1 Mo 0.125 0.250 0.125
2 Mo 0.125 0.750 0.125
3 Mo 0.126 0.000 0.625
4 Mo 0.374 0.499 0.875
5 Mo 0.626 0.501 0.125
6 Mo 0.874 0.000 0.375
7 Mo 0.875 0.250 0.875
8 Mo 0.875 0.750 0.875
9 W 0.125 0.499 0.625
10 W 0.375 0.000 0.875
11 W 0.375 0.250 0.374
12 W 0.375 0.749 0.375
13 W 0.625 0.000 0.125
14 W 0.625 0.251 0.625
15 W 0.625 0.750 0.626
16 W 0.875 0.501 0.375

# Mo5W6

A relaxed Mo5W6 crystal (PBE-GGA, the Alexandria database).

Values from the calculation:
As for the space-group type: No. 12. The value obtained for the formation energy is 0.5605 eV per atom.

Cell: 6.599 6.599 4.686 Å, 96.24 96.24 111.98°
Fractional coordinates of all 11 atoms:
1 Mo 0.000 0.000 0.000
2 Mo 0.132 0.868 0.500
3 Mo 0.265 0.735 0.000
4 Mo 0.735 0.265 0.000
5 Mo 0.868 0.132 0.500
6 W 0.184 0.456 0.361
7 W 0.331 0.331 0.842
8 W 0.456 0.184 0.361
9 W 0.544 0.816 0.639
10 W 0.669 0.669 0.158
11 W 0.816 0.544 0.639

# MoW3

A relaxed MoW3 crystal (PBE-GGA, the Alexandria database).

Values from the calculation:
Its polymorph energy (0 for the lowest one) is 6 meV/atom. As for the space-group type: No. 8. The value obtained for the formation energy is -0.0105 eV per atom.

Cell: 6.361 6.361 6.360 Å, 90.00 90.00 89.99°
Fractional coordinates of all 16 atoms:
1 Mo 0.000 0.000 0.000
2 Mo 0.000 0.000 0.500
3 Mo 0.250 0.250 0.250
4 Mo 0.500 0.500 0.000
5 W 0.000 0.500 0.000
6 W 0.000 0.500 0.500
7 W 0.250 0.250 0.750
8 W 0.250 0.750 0.250
9 W 0.250 0.750 0.750
10 W 0.500 0.000 0.000
11 W 0.500 0.000 0.500
12 W 0.500 0.500 0.500
13 W 0.750 0.250 0.250
14 W 0.750 0.250 0.750
15 W 0.750 0.750 0.250
16 W 0.750 0.750 0.750

# MoW3

A relaxed MoW3 crystal (PBE-GGA, the Alexandria database).

Values from the calculation:
Its polymorph energy (0 for the lowest one) is 0 meV/atom. As for the space-group type: No. 225. The value obtained for the formation energy is -0.0168 eV per atom.

Cell: 6.362 6.362 6.362 Å, 90.00 90.00 90.00°
Fractional coordinates of all 16 atoms:
1 Mo 0.000 0.000 0.000
2 Mo 0.000 0.500 0.500
3 Mo 0.500 0.000 0.500
4 Mo 0.500 0.500 0.000
5 W 0.000 0.000 0.500
6 W 0.000 0.500 0.000
7 W 0.250 0.250 0.250
8 W 0.250 0.250 0.750
9 W 0.250 0.750 0.250
10 W 0.250 0.750 0.750
11 W 0.500 0.000 0.000
12 W 0.500 0.500 0.500
13 W 0.750 0.250 0.250
14 W 0.750 0.250 0.750
15 W 0.750 0.750 0.250
16 W 0.750 0.750 0.750

# Mo6W5

A relaxed Mo6W5 crystal (PBE-GGA, the Alexandria database).

Values from the calculation:
As for the space-group type: No. 12. The value obtained for the formation energy is 0.4030 eV per atom.

Cell: 7.024 7.024 4.535 Å, 107.92 107.92 107.40°
Fractional coordinates of all 11 atoms:
1 Mo 0.056 0.341 0.707
2 Mo 0.194 0.194 0.212
3 Mo 0.341 0.056 0.707
4 Mo 0.659 0.944 0.293
5 Mo 0.806 0.806 0.788
6 Mo 0.944 0.659 0.293
7 W 0.226 0.774 0.000
8 W 0.362 0.638 0.500
9 W 0.500 0.500 0.000
10 W 0.638 0.362 0.500
11 W 0.774 0.226 0.000

These records have E values of -12.333 -12.076 -11.542 -11.535 -11.838 -11.556 -10.937 -11.638 -9.347 -12.061 -9.236 -11.556 -11.527 -11.718 -11.558 -11.902 -11.428 -12.433 -12.439 -11.393 eV per atom, in the order they appear.
These records have total moment values of 0.00 0.00 0.00 0.00 0.00 0.00 0.00 0.00 0.00 0.00 0.08 0.00 0.00 0.00 0.00 0.00 0.00 0.00 0.00 0.00 μB per formula unit, in the order they appear.